Record 1
## Ta2AuBr (SCAN)

Data for a PBEsol-optimized structure of Ta2AuBr.

Cell lengths 5.227, 5.227, 4.982 Å; angles 106.08, 106.08, 33.12 degrees
Sites, in units of the cell vectors:
Ta 0.000 0.000 0.000
Ta 0.721 0.721 0.397
Au 0.257 0.257 0.910
Br 0.479 0.479 0.539

## Properties
Offset from the most stable computed form ... 0.00 eV/f.u.
E ... -55.065 eV per atom
Energy relative to the elements, uncorrected ... 0.38 eV/atom



Record 2
## TcAu3Br (SCAN)

Data for a PBEsol-optimized structure of TcAu3Br.

Cell lengths 4.927, 4.927, 4.927 Å; angles 90.00, 90.00, 90.00 degrees
Sites, in units of the cell vectors:
Tc 0.000 0.000 0.000
Au 0.000 0.000 0.500
Au 0.000 0.500 0.000
Au 0.500 0.000 0.000
Br 0.500 0.500 0.500

## Properties
E ... -51.192 eV per atom
Energy relative to the elements, uncorrected ... 1.21 eV/atom



Record 3
## TcAuBr4 (SCAN)

Data for a PBEsol-optimized structure of TcAuBr4.

Cell lengths 5.916, 5.916, 5.916 Å; angles 60.00, 60.00, 60.00 degrees
Sites, in units of the cell vectors:
Tc 0.000 0.000 0.000
Au 0.250 0.250 0.250
Br 0.126 0.625 0.625
Br 0.625 0.126 0.625
Br 0.625 0.625 0.126
Br 0.625 0.625 0.625

## Properties
E ... -29.083 eV per atom
Energy relative to the elements, uncorrected ... 1.26 eV/atom



Record 4
## TcAuBr2 (SCAN)

Data for a PBEsol-optimized structure of TcAuBr2.

Cell lengths 3.258, 4.292, 5.907 Å; angles 90.00, 90.00, 90.00 degrees
Sites, in units of the cell vectors:
Tc 0.000 0.000 0.000
Au 0.500 0.000 0.500
Br 0.000 0.500 0.500
Br 0.500 0.500 0.000

## Properties
E ... -35.073 eV per atom
Energy relative to the elements, uncorrected ... 0.71 eV/atom



Q: What is the formula in the fourth record?
A: TcAuBr2